No. 1
# Mn5B2P, relaxed, DFT GGA-PBEsol
# Total magnetic moment = 6.34 μB per formula unit
# Energy = -145.36 eV for the cell shown
data_Mn5B2P
_cell_length_a 5.406
_cell_length_b 5.406
_cell_length_c 6.340
_cell_angle_alpha 115.23
_cell_angle_beta 115.23
_cell_angle_gamma 90.00
_symmetry_space_group_name_H-M 'P 1'
_symmetry_Int_Tables_number 1
_symmetry_space_group_name_Hall 'P 1'
loop_
_atom_site_label
_atom_site_fract_x
_atom_site_fract_y
_atom_site_fract_z
Mn1 0.307 0.473 0.280
Mn2 0.693 0.527 0.720
Mn3 0.973 0.807 0.280
Mn4 0.027 0.193 0.720
Mn5 0.473 0.973 0.280
Mn6 0.807 0.307 0.280
Mn7 0.527 0.027 0.720
Mn8 0.193 0.693 0.720
Mn9 0.500 0.500 0.000
Mn10 0.000 0.000 0.000
B1 0.379 0.121 0.000
B2 0.121 0.621 0.000
B3 0.621 0.879 0.000
B4 0.879 0.379 0.000
P1 0.250 0.250 0.500
P2 0.750 0.750 0.500

=====

No. 2
# CaLaCr2O6, relaxed, DFT GGA-PBEsol
# Total magnetic moment = 5.00 μB per formula unit
# Raw formation energy = -2.637 eV/atom
data_CaLaCr2O6
_cell_length_a 5.357
_cell_length_b 5.380
_cell_length_c 7.578
_cell_angle_alpha 90.00
_cell_angle_beta 90.00
_cell_angle_gamma 90.00
_symmetry_space_group_name_H-M 'P 1'
_symmetry_Int_Tables_number 1
_symmetry_space_group_name_Hall 'P 1'
loop_
_atom_site_label
_atom_site_fract_x
_atom_site_fract_y
_atom_site_fract_z
Cr1 0.502 0.251 0.251
Cr2 0.002 0.749 0.751
Cr3 0.502 0.251 0.749
Cr4 0.002 0.749 0.249
O1 0.283 0.969 0.717
O2 0.783 0.031 0.217
O3 0.714 0.537 0.211
O4 0.214 0.463 0.289
O5 0.714 0.537 0.789
O6 0.576 0.262 0.500
O7 0.439 0.234 0.000
O8 0.283 0.969 0.283
O9 0.214 0.463 0.711
O10 0.783 0.031 0.783
O11 0.076 0.738 0.000
O12 0.939 0.766 0.500
Ca1 0.510 0.789 0.000
Ca2 0.010 0.211 0.500
La1 0.497 0.724 0.500
La2 0.997 0.276 0.000

=====

No. 3
# AsP2Br, relaxed, DFT GGA-PBEsol
# Total magnetic moment = 0.00 μB per formula unit
# Relative energy among the computed polymorphs = 223 meV per atom
# Raw formation energy = 0.403 eV/atom
data_AsP2Br
_cell_length_a 3.356
_cell_length_b 3.356
_cell_length_c 7.214
_cell_angle_alpha 90.00
_cell_angle_beta 90.00
_cell_angle_gamma 90.00
_symmetry_space_group_name_H-M 'P 1'
_symmetry_Int_Tables_number 1
_symmetry_space_group_name_Hall 'P 1'
loop_
_atom_site_label
_atom_site_fract_x
_atom_site_fract_y
_atom_site_fract_z
Br1 0.500 0.500 0.500
P1 0.000 0.000 0.158
P2 0.000 0.000 0.842
As1 0.500 0.500 0.000

=====

No. 4
# CrMoCl2, relaxed, DFT GGA-PBEsol
# Total magnetic moment = 3.78 μB per formula unit
# Relative energy among the computed polymorphs = 154 meV per atom
# Raw formation energy = 0.428 eV/atom
data_CrMoCl2
_cell_length_a 2.948
_cell_length_b 3.141
_cell_length_c 8.192
_cell_angle_alpha 90.00
_cell_angle_beta 90.00
_cell_angle_gamma 117.99
_symmetry_space_group_name_H-M 'P 1'
_symmetry_Int_Tables_number 1
_symmetry_space_group_name_Hall 'P 1'
loop_
_atom_site_label
_atom_site_fract_x
_atom_site_fract_y
_atom_site_fract_z
Cl1 0.000 0.000 0.761
Cl2 0.000 0.000 0.239
Mo1 0.500 0.000 0.000
Cr1 0.500 0.000 0.500

=====

No. 5
# ReMoW, relaxed, DFT GGA-PBEsol
# Total magnetic moment = 0.00 μB per formula unit
# Relative energy among the computed polymorphs = 226 meV per atom
data_ReMoW
_cell_length_a 2.785
_cell_length_b 2.785
_cell_length_c 6.848
_cell_angle_alpha 90.00
_cell_angle_beta 90.00
_cell_angle_gamma 120.00
_symmetry_space_group_name_H-M 'P 1'
_symmetry_Int_Tables_number 1
_symmetry_space_group_name_Hall 'P 1'
loop_
_atom_site_label
_atom_site_fract_x
_atom_site_fract_y
_atom_site_fract_z
Re1 0.333 0.667 0.669
W1 0.667 0.333 0.339
Mo1 0.000 0.000 0.992

=====

No. 6
# P2S2N, relaxed, DFT GGA-PBEsol
# Total magnetic moment = 1.77 μB per formula unit
# Raw formation energy = 1.642 eV/atom
data_P2S2N
_cell_length_a 4.376
_cell_length_b 4.376
_cell_length_c 4.556
_cell_angle_alpha 90.00
_cell_angle_beta 90.00
_cell_angle_gamma 90.00
_symmetry_space_group_name_H-M 'P 1'
_symmetry_Int_Tables_number 1
_symmetry_space_group_name_Hall 'P 1'
loop_
_atom_site_label
_atom_site_fract_x
_atom_site_fract_y
_atom_site_fract_z
P1 0.000 0.000 0.500
P2 0.000 0.000 0.000
N1 0.500 0.500 0.500
S1 0.500 0.000 0.000
S2 0.000 0.500 0.000